A relaxed Y3NbMo crystal. Source: Alexandria, functional PBE.

Properties
The calculation puts the offset from the most stable computed form at 235 meV per atom.

Cell lengths 5.3413, 5.3413, 5.3413 Å; angles 90.00, 90.00, 90.00 degrees
Space group Pm-3m (No. 221)
One atom of each set of equivalent atoms:
Y 0.0000 0.0000 0.5000 [3 per cell]
Nb 0.0000 0.0000 0.0000 [1 per cell]
Mo 0.5000 0.5000 0.5000 [1 per cell]

A relaxed VSb2Se crystal. Source: Alexandria, functional PBE.

Properties
As for the uncorrected formation energy: 432 meV per atom.

Cell lengths 6.2664, 6.2664, 12.9975 Å; angles 90.00, 90.00, 90.00 degrees
Space group I-42d (No. 122)
One atom of each set of equivalent atoms:
V 0.0000 0.0000 0.0000 [4 per cell]
Sb 0.2192 0.2500 0.1250 [8 per cell]
Se 0.0000 0.0000 0.5000 [4 per cell]

In the order shown, the computed spin magnetization values come out to 3.73 2.68 μB/f.u..